# TlRePS2 PBE relaxed
# - formation energy (no corrections) (meV/atom) = 221
# - energy relative to the lowest polymorph listed for this composition (eV/atom) = 0.000
# - mass density (Mg/m³) = 7.558
# - V (Å³ per cell) = 107
data_TlRePS2
_chemical_formula_sum 'Tl1 Re1 P1 S2'
_cell_length_a 4.784
_cell_length_b 4.784
_cell_length_c 4.662
_cell_angle_alpha 90.00
_cell_angle_beta 90.00
_cell_angle_gamma 90.00
_symmetry_space_group_name_H-M 'P 4/m m m'
_symmetry_Int_Tables_number 123
_symmetry_space_group_name_Hall '-P 4 2'
loop_
_atom_site_label
_atom_site_type_symbol
_atom_site_fract_x
_atom_site_fract_y
_atom_site_fract_z
Tl1 Tl 0.000 0.000 0.000
Re1 Re 0.500 0.500 0.500
P1 P 0.500 0.500 0.000
S1 S 0.000 0.500 0.500